[1]
Computed, not measured: a geometry-optimized CuS2I structure at the PBE level of DFT.

Results
Fermi-level density of states	1.9	states/eV/f.u.
formation energy from raw total energies	0.506	eV/atom
relative energy among the computed polymorphs	2.14	eV per formula unit
space-group type	R-3m, No. 166

```
CuS2I
1.0
4.760 0.000 0.000
-2.380 4.122 0.000
0.000 0.000 18.844
Cu S I
3 6 3
Direct
0.000 0.000 0.000 Cu
0.333 0.667 0.667 Cu
0.667 0.333 0.333 Cu
0.000 0.000 0.112 S
0.000 0.000 0.888 S
0.333 0.667 0.555 S
0.333 0.667 0.778 S
0.667 0.333 0.222 S
0.667 0.333 0.445 S
0.000 0.000 0.500 I
0.333 0.667 0.167 I
0.667 0.333 0.833 I
```

[2]
Computed, not measured: a geometry-optimized CuSI2 structure at the PBE level of DFT.

Results
Fermi-level density of states	4.0	states/eV/f.u.
formation energy from raw total energies	0.476	eV/atom
relative energy among the computed polymorphs	1.91	eV per formula unit
space-group type	I-42d, No. 122

```
CuSI2
1.0
7.158 0.000 0.000
0.000 7.158 0.000
0.000 0.000 9.350
Cu S I
4 4 8
Direct
0.000 0.000 0.000 Cu
0.000 0.500 0.250 Cu
0.500 0.000 0.750 Cu
0.500 0.500 0.500 Cu
0.000 0.000 0.500 S
0.000 0.500 0.750 S
0.500 0.000 0.250 S
0.500 0.500 0.000 S
0.207 0.250 0.125 I
0.250 0.707 0.375 I
0.250 0.793 0.875 I
0.293 0.250 0.625 I
0.707 0.750 0.625 I
0.750 0.207 0.875 I
0.750 0.293 0.375 I
0.793 0.750 0.125 I
```

[3]
Computed, not measured: a geometry-optimized Cu2S4I3 structure at the PBE level of DFT.

Results
Fermi-level density of states	5.1	states/eV/f.u.
formation energy from raw total energies	-0.005	eV/atom
space-group type	C2/c, No. 15

```
Cu2S4I3
1.0
5.916 -8.299 0.000
5.916 8.299 0.000
-0.369 0.000 6.134
Cu S I
4 8 6
Direct
0.241 0.248 0.117 Cu
0.248 0.241 0.617 Cu
0.752 0.759 0.383 Cu
0.759 0.752 0.883 Cu
0.064 0.174 0.347 S
0.072 0.725 0.634 S
0.174 0.064 0.847 S
0.275 0.928 0.866 S
0.725 0.072 0.134 S
0.826 0.936 0.153 S
0.928 0.275 0.366 S
0.936 0.826 0.653 S
0.183 0.817 0.250 I
0.253 0.450 0.870 I
0.450 0.253 0.370 I
0.550 0.747 0.630 I
0.747 0.550 0.130 I
0.817 0.183 0.750 I
```

[4]
Computed, not measured: a geometry-optimized CuS2I2 structure at the PBE level of DFT.

Results
Fermi-level density of states	2.8	states/eV/f.u.
formation energy from raw total energies	0.584	eV/atom
relative energy among the computed polymorphs	2.99	eV per formula unit
space-group type	I4/mmm, No. 139

```
CuS2I2
1.0
5.988 0.000 0.000
0.000 5.988 0.000
0.000 0.000 7.898
Cu S I
2 4 4
Direct
0.000 0.000 0.000 Cu
0.500 0.500 0.500 Cu
0.000 0.000 0.381 S
0.000 0.000 0.619 S
0.500 0.500 0.119 S
0.500 0.500 0.881 S
0.000 0.500 0.250 I
0.000 0.500 0.750 I
0.500 0.000 0.250 I
0.500 0.000 0.750 I
```

[5]
Computed, not measured: a geometry-optimized CuSI2 structure at the PBE level of DFT.

Results
Fermi-level density of states	5.1	states/eV/f.u.
formation energy from raw total energies	0.821	eV/atom
relative energy among the computed polymorphs	3.29	eV per formula unit
space-group type	Fm-3m, No. 225

```
CuSI2
1.0
7.232 0.000 0.000
0.000 7.232 0.000
0.000 0.000 7.232
Cu S I
4 4 8
Direct
0.000 0.000 0.000 Cu
0.000 0.500 0.500 Cu
0.500 0.000 0.500 Cu
0.500 0.500 0.000 Cu
0.000 0.000 0.500 S
0.000 0.500 0.000 S
0.500 0.000 0.000 S
0.500 0.500 0.500 S
0.250 0.250 0.250 I
0.250 0.250 0.750 I
0.250 0.750 0.250 I
0.250 0.750 0.750 I
0.750 0.250 0.250 I
0.750 0.250 0.750 I
0.750 0.750 0.250 I
0.750 0.750 0.750 I
```

[6]
Computed, not measured: a geometry-optimized Cu2SI structure at the PBE level of DFT.

Results
Fermi-level density of states	3.4	states/eV/f.u.
formation energy from raw total energies	0.612	eV/atom
relative energy among the computed polymorphs	3.17	eV per formula unit
space-group type	Fm-3m, No. 225

```
Cu2SI
1.0
6.667 0.000 0.000
0.000 6.667 0.000
0.000 0.000 6.667
Cu S I
8 4 4
Direct
0.250 0.250 0.250 Cu
0.250 0.250 0.750 Cu
0.250 0.750 0.250 Cu
0.250 0.750 0.750 Cu
0.750 0.250 0.250 Cu
0.750 0.250 0.750 Cu
0.750 0.750 0.250 Cu
0.750 0.750 0.750 Cu
0.000 0.000 0.000 S
0.000 0.500 0.500 S
0.500 0.000 0.500 S
0.500 0.500 0.000 S
0.000 0.000 0.500 I
0.000 0.500 0.000 I
0.500 0.000 0.000 I
0.500 0.500 0.500 I
```

- formation energy from raw total energies of number 2 (CuSI2)?
  0.476 eV/atom

- What is the formula in the fifth record?
  CuSI2

- Which value of formation energy from raw total energies does entry 3 give?
  -0.005 eV/atom